## Tb5Er12Th (PBE-GGA)

Data for a relaxed Tb5Er12Th crystal.

Cell: 10.575 10.576 6.113 Å, 73.32 90.00 60.00°
Atoms (fractional coordinates):
Er (0.667, 0.332, 0.999)
Er (0.833, 0.666, 0.500)
Er (0.669, 0.000, 0.000)
Er (0.331, 0.000, 0.000)
Er (0.333, 0.668, 0.001)
Er (0.834, 0.000, 0.500)
Er (0.001, 0.332, 0.999)
Er (0.500, 0.334, 0.500)
Er (0.166, 0.000, 0.500)
Er (0.500, 0.666, 0.500)
Er (0.167, 0.334, 0.500)
Er (0.999, 0.668, 0.001)
Tb (0.166, 0.668, 0.495)
Tb (0.500, 0.000, 0.500)
Tb (0.834, 0.332, 0.505)
Tb (0.333, 0.334, 0.000)
Tb (0.667, 0.666, 0.000)
Th (0.000, 0.000, 0.000)

Computed properties:
- Calculated total energy: -84.88 eV per formula unit
- Density: 9.0 g cm⁻³